A plane-wave DFT calculation with PBE was carried out for a geometry-optimized CaSiSCl2 structure.

Structure (POSCAR):
```
CaSiSCl2
1.0
5.061 0.000 0.000
0.000 5.061 0.000
0.000 0.000 5.586
Ca Si S Cl
1 1 1 2
Direct
0.000 0.000 0.000
0.500 0.500 0.500
0.000 0.000 0.500
0.000 0.500 0.000
0.500 0.000 0.000
```

Summary:
**Crystal system**: tetragonal
**Formation energy from raw total energies**: -0.490 eV per atom
**Relative energy among the computed polymorphs**: 1.95 eV per formula unit

---

A plane-wave DFT calculation with PBE was carried out for a geometry-optimized Tb5Zn4Pb structure.

Structure (POSCAR):
```
Tb5Zn4Pb
1.0
3.608 0.000 0.000
0.000 3.608 0.000
0.000 0.000 18.496
Tb Zn Pb
5 4 1
Direct
0.000 0.000 0.000
0.000 0.000 0.191
0.000 0.000 0.382
0.000 0.000 0.618
0.000 0.000 0.809
0.500 0.500 0.098
0.500 0.500 0.284
0.500 0.500 0.716
0.500 0.500 0.902
0.500 0.500 0.500
```

Summary:
**Crystal system**: tetragonal
**Formation energy**: -0.3667 eV/atom